Crystalline LuGaCuTc at its relaxed geometry, computed with PBE.

The structure in POSCAR format:
```
LuGaCuTc
1.0
0.000 3.233 3.233
3.233 0.000 3.233
3.233 3.233 0.000
Lu Tc Cu Ga
1 1 1 1
Direct
0.250 0.250 0.250
0.500 0.500 0.500
0.750 0.750 0.750
0.000 0.000 0.000
```

Values from the calculation:
- SG = F-43m (216)
- energy (eV per atom) = -5.1925
- density (Mg/m³) = 9.98

***

Crystalline Te4Pt5 at its relaxed geometry, computed with PBE.

The structure in POSCAR format:
```
Te4Pt5
1.0
6.969 0.000 0.000
0.000 4.907 0.000
-2.367 0.000 11.550
Pt Te
10 8
Direct
0.222 0.667 0.172
0.778 0.167 0.328
0.000 0.500 0.500
0.222 0.833 0.672
0.000 0.000 0.000
0.778 0.333 0.828
0.669 0.837 0.494
0.669 0.663 0.994
0.331 0.337 0.006
0.331 0.163 0.506
0.911 0.365 0.139
0.089 0.635 0.861
0.480 0.043 0.856
0.520 0.957 0.144
0.089 0.865 0.361
0.911 0.135 0.639
0.520 0.543 0.644
0.480 0.457 0.356
```

Values from the calculation:
- SG = P2_1/c (14)
- energy (eV per atom) = -5.0598
- density (Mg/m³) = 12.49

***

Crystalline ScGaCoPd at its relaxed geometry, computed with PBE.

The structure in POSCAR format:
```
ScGaCoPd
1.0
0.032 -1.288 4.249
-0.237 3.028 3.239
-3.686 0.344 2.452
Ga Pd Sc Co
1 1 1 1
Direct
0.000 0.000 0.000
0.500 0.500 0.500
0.250 0.250 0.250
0.750 0.750 0.750
```

Values from the calculation:
- SG = F-43m (216)
- energy (eV per atom) = -5.7447
- density (Mg/m³) = 7.51